[1]
CaTa2Ag, optimized geometry, DFT PBE; DFT formation energy = 0.5879 eV per atom; total magnetization = 0.0 μB/f.u.
1.0
-3.494 -4.164 2.301
1.237 -5.759 -0.382
2.562 5.107 1.481
Ta Ag Ca
2 1 1
Direct
0.500 0.500 0.000 Ta
0.000 0.000 0.000 Ta
0.250 0.750 0.500 Ag
0.750 0.250 0.500 Ca


[2]
CaTa2TcAg, optimized geometry, DFT PBE; DFT formation energy = 1.9550 eV per atom; total magnetization = 1.5 μB/f.u.
1.0
-4.473 1.185 -1.781
-1.670 -4.680 1.081
-1.387 1.536 4.506
Ta Tc Ca Ag
2 1 1 1
Direct
0.000 0.000 0.500 Ta
0.500 0.000 0.000 Ta
0.500 0.500 0.500 Tc
0.000 0.500 0.000 Ca
0.000 0.000 0.000 Ag


[3]
Ca2Tb2Ag3, optimized geometry, DFT PBE; DFT formation energy = -0.1700 eV per atom; total magnetization = 0.0 μB/f.u.
1.0
-3.933 0.281 -3.363
4.722 -1.367 -1.644
-0.766 -7.744 4.242
Tb Ag Ca
2 3 2
Direct
0.252 0.126 0.378 Tb
0.748 0.874 0.622 Tb
0.490 0.245 0.735 Ag
0.000 0.000 0.000 Ag
0.510 0.755 0.265 Ag
0.246 0.623 0.869 Ca
0.754 0.377 0.131 Ca


[4]
Ca2TbAg3, optimized geometry, DFT PBE; DFT formation energy = -0.3142 eV per atom; total magnetization = 0.0 μB/f.u.
1.0
-0.848 2.812 2.248
-3.601 -0.668 -0.523
0.026 -6.898 8.639
Ag Ca Tb
3 2 1
Direct
0.000 0.000 0.653 Ag
0.000 0.000 0.347 Ag
0.000 0.000 0.000 Ag
0.500 0.500 0.170 Ca
0.500 0.500 0.830 Ca
0.500 0.500 0.500 Tb


[5]
CaTbAg4, optimized geometry, DFT PBE; DFT formation energy = -0.1877 eV per atom; total magnetization = 0.0 μB/f.u.
1.0
-3.273 4.239 2.063
-0.922 0.424 5.649
2.391 4.279 2.985
Ag Ca Tb
4 1 1
Direct
0.625 0.625 0.126 Ag
0.126 0.625 0.625 Ag
0.625 0.126 0.625 Ag
0.625 0.625 0.625 Ag
0.250 0.250 0.250 Ca
0.000 0.000 0.000 Tb


[6]
CaTb2Ag, optimized geometry, DFT PBE; DFT formation energy = -0.0572 eV per atom; total magnetization = 0.0 μB/f.u.
1.0
-2.311 -2.785 -0.352
1.556 -1.650 2.842
-6.021 4.266 5.772
Ca Tb Ag
1 2 1
Direct
0.500 0.500 0.500 Ca
0.000 0.000 0.809 Tb
0.000 0.000 0.191 Tb
0.500 0.500 0.000 Ag


[7]
CaTbAg6, optimized geometry, DFT PBE; DFT formation energy = -0.1955 eV per atom; total magnetization = 0.0 μB/f.u.
1.0
-2.141 1.564 -4.104
-2.059 -3.233 -3.066
-7.781 2.772 2.208
Ag Ca Tb
6 1 1
Direct
0.248 0.875 0.628 Ag
0.497 0.252 0.755 Ag
0.249 0.375 0.126 Ag
0.751 0.625 0.874 Ag
0.503 0.748 0.245 Ag
0.752 0.125 0.372 Ag
0.000 0.500 0.500 Ca
0.000 0.000 0.000 Tb


[8]
Ca2TbAg, optimized geometry, DFT PBE; DFT formation energy = 0.0092 eV per atom; total magnetization = 0.4 μB/f.u.
1.0
3.754 0.000 0.000
1.877 3.251 0.000
1.877 1.084 10.573
Ca Tb Ag
2 1 1
Direct
0.263 0.263 0.212 Ca
0.071 0.071 0.788 Ca
0.500 0.500 0.499 Tb
0.666 0.666 0.001 Ag